(1)
Zn2Pb2F7, optimized geometry, DFT GGA-PBE; electronic total energy = -4.19 eV per atom; energy above the most stable polymorph in this dataset = 4 meV/atom; total moment = 0.00 μB per formula unit; ΔE_f (raw) = -201.8 kJ per mole of atoms
1.0
0.0000 5.5732 5.5732
5.5732 0.0000 5.5732
5.5732 5.5732 0.0000
Zn Pb F
4 4 14
Cartesian
0.0000 0.0000 0.0000
2.7866 2.7866 0.0000
2.7866 0.0000 2.7866
0.0000 2.7866 2.7866
5.5732 2.7866 2.7866
2.7866 5.5732 2.7866
2.7866 2.7866 5.5732
5.5732 5.5732 5.5732
4.1799 4.1799 0.8449
4.1799 0.8449 4.1799
7.5149 4.1799 4.1799
6.9666 6.9666 3.6316
6.9666 3.6316 6.9666
10.3015 6.9666 6.9666
4.1799 4.1799 4.1799
6.9666 6.9666 6.9666
0.8449 4.1799 4.1799
4.1799 7.5149 4.1799
4.1799 4.1799 7.5149
3.6316 6.9666 6.9666
6.9666 10.3015 6.9666
6.9666 6.9666 10.3015


(2)
PmIn5Co, optimized geometry, DFT GGA-PBE; electronic total energy = -3.92 eV per atom; formation energy from the elements = -0.27 eV/atom; total moment = 0.00 μB per formula unit
1.0
4.6071 0.0000 0.0000
0.0000 4.6071 0.0000
0.0000 0.0000 7.5913
Pm In Co
1 5 1
Cartesian
0.0000 0.0000 0.0000
0.0000 2.3035 2.3454
0.0000 2.3035 5.2459
2.3035 0.0000 2.3454
2.3035 0.0000 5.2459
2.3035 2.3035 0.0000
0.0000 0.0000 3.7956


(3)
AcLaCuRu, optimized geometry, DFT GGA-PBE; electronic total energy = -5.77 eV per atom; energy above the most stable polymorph in this dataset = 0 meV/atom; formation energy from the elements = -0.17 eV/atom; total moment = 0.00 μB per formula unit
1.0
4.3134 0.0000 0.0000
0.0000 2.0823 5.6781
0.0000 -2.0823 5.6781
Ac La Cu Ru
1 1 1 1
Cartesian
0.0000 0.0000 0.0000
2.1567 0.0000 8.2216
2.1567 0.0000 4.8082
0.0000 0.0000 3.1609


(4)
Nd3Ho2Al3, optimized geometry, DFT GGA-PBE; electronic total energy = -4.56 eV per atom; formation energy from the elements = -0.23 eV/atom; total moment = 0.00 μB per formula unit
1.0
8.5931 0.0000 0.0000
-4.2965 7.4418 0.0000
0.0000 0.0000 3.3225
Nd Ho Al
3 2 3
Cartesian
-3.2441 5.6189 0.0000
1.0525 1.8229 0.0000
6.4882 0.0000 0.0000
0.0000 4.9612 0.0000
4.2965 2.4806 0.0000
-1.6699 2.8923 1.6612
3.3397 0.0000 1.6612
2.6267 4.5495 1.6612


(5)
Nd8Sb3Te4, optimized geometry, DFT GGA-PBE; electronic total energy = -5.42 eV per atom; total moment = 0.00 μB per formula unit; ΔE_f (raw) = -117.3 kJ per mole of atoms
1.0
6.3202 -6.3280 0.0000
6.3202 6.3280 0.0000
-6.3141 0.0000 6.3330
Nd Sb Te
8 3 4
Cartesian
-0.0423 0.0000 3.1392
6.3202 3.2042 0.0000
3.1260 0.0000 0.0059
3.1632 3.1782 3.1665
3.1632 -3.1782 3.1665
3.2003 0.0000 6.3272
6.3202 -3.2042 0.0000
6.3686 0.0000 3.1938
0.0000 0.0000 0.0000
0.0031 3.1640 3.1665
0.0031 -3.1640 3.1665
3.1601 3.1640 0.0000
3.1601 -3.1640 0.0000
6.3202 0.0000 0.0000
3.1632 0.0000 3.1665


(6)
Al2InSb, optimized geometry, DFT GGA-PBE; electronic total energy = -3.39 eV per atom; energy above the most stable polymorph in this dataset = 90 meV/atom; total moment = 0.00 μB per formula unit; ΔE_f (raw) = 18.6 kJ per mole of atoms
1.0
3.9342 -3.6134 0.0000
3.9342 3.6134 0.0000
-0.0054 0.0000 3.1795
Al In Sb
2 1 1
Cartesian
1.9671 1.8067 0.0000
1.9671 -1.8067 0.0000
-0.0027 0.0000 1.5897
3.9315 0.0000 1.5897


(7)
LaMgAuI2, optimized geometry, DFT GGA-PBE; electronic total energy = -2.60 eV per atom; total moment = 0.00 μB per formula unit; ΔE_f (raw) = -2.0 kJ per mole of atoms
1.0
5.7925 0.0000 0.0000
0.0000 5.7925 0.0000
0.0000 0.0000 5.7315
La Mg Au I
1 1 1 2
Cartesian
0.0000 0.0000 0.0000
2.8962 2.8962 0.0000
0.0000 0.0000 2.8657
0.0000 2.8962 2.8657
2.8962 0.0000 2.8657


(8)
ThTlTe2Br, optimized geometry, DFT GGA-PBE; electronic total energy = -4.63 eV per atom; total moment = 0.00 μB per formula unit; ΔE_f (raw) = -104.5 kJ per mole of atoms
1.0
9.6713 0.0000 0.0000
0.0000 4.5299 0.0000
-2.5261 0.0000 9.3586
Th Tl Te Br
2 2 4 2
Cartesian
1.2747 1.1325 1.6484
5.8704 3.3974 7.7101
1.1245 3.3974 7.2863
6.0207 1.1325 2.0723
-1.5647 1.1325 7.8136
3.3860 3.3974 1.3457
3.7592 1.1325 8.0128
8.7099 3.3974 1.5450
1.2025 1.1325 4.4302
5.9427 3.3974 4.9284


- What is the electronic total energy in the sixth record?
  -3.39 eV per atom


- Which value of electronic total energy does entry 7 give?
  -2.60 eV per atom